Record 1
## Pr3Ho (GGA-PBEsol)

Data for crystalline Pr3Ho at its relaxed geometry.

a = 5.8250 Å, b = 7.2199 Å, c = 7.2199 Å
α = 120.00°, β = 90.00°, γ = 90.00°
Sites, in units of the cell vectors:
Ho (0.2500, 0.6667, 0.3333)
Pr (0.7500, 0.8326, 0.6651)
Pr (0.2500, 0.1674, 0.8326)
Pr (0.7500, 0.8326, 0.1674)
Pr (0.2500, 0.6651, 0.8326)
Ho (0.7500, 0.3333, 0.6667)
Pr (0.2500, 0.1674, 0.3349)
Pr (0.7500, 0.3349, 0.1674)

Properties
Energy above the most stable polymorph in this dataset = 19.2 meV/atom
Energy of formation = 29 meV per atom

=====

Record 2
## ScCdFe2 (GGA-PBEsol)

Data for crystalline ScCdFe2 at its relaxed geometry.

a = 3.1118 Å, b = 3.3263 Å, c = 5.8372 Å
α = 90.00°, β = 90.00°, γ = 90.00°
Last column: magnetic moment on the atom in μB.
Sites, in units of the cell vectors:
Sc (0.5000, 0.5000, 0.0000)  -0.38
Cd (0.5000, 0.5000, 0.5000)  -0.06
Fe (0.0000, 0.0000, 0.2393)  2.12
Fe (0.0000, 0.0000, 0.7607)  2.12

Properties
Energy of formation = 208 meV per atom

=====

Record 3
## ZnSn2Bi2 (GGA-PBEsol)

Data for crystalline ZnSn2Bi2 at its relaxed geometry.

a = 4.0592 Å, b = 4.0592 Å, c = 9.0336 Å
α = 102.98°, β = 102.98°, γ = 90.00°
Sites, in units of the cell vectors:
Zn (0.0000, 0.0000, 0.0000)
Sn (0.7500, 0.2500, 0.5000)
Sn (0.2500, 0.7500, 0.5000)
Bi (0.5901, 0.5901, 0.1803)
Bi (0.4099, 0.4099, 0.8197)

Properties
Energy of formation = 245 meV per atom

=====

Record 4
## MgOs2Br (GGA-PBEsol)

Data for crystalline MgOs2Br at its relaxed geometry.

a = 4.1581 Å, b = 4.7009 Å, c = 4.1581 Å
α = 63.75°, β = 90.00°, γ = 116.25°
Sites, in units of the cell vectors:
Os (0.2500, 0.5000, 0.2500)
Mg (0.7500, 0.5000, 0.7500)
Br (0.5000, 0.0000, 0.5000)
Os (0.0000, 0.0000, 0.0000)

Properties
Energy above the most stable polymorph in this dataset = 722.5 meV/atom
ΔE_f (raw) = 1.068 eV per atom

=====

Record 5
## Ca2MgTe (GGA-PBEsol)

Data for crystalline Ca2MgTe at its relaxed geometry.

a = 5.5285 Å, b = 5.5285 Å, c = 5.5285 Å
α = 60.00°, β = 60.00°, γ = 60.00°
Sites, in units of the cell vectors:
Mg (0.5000, 0.5000, 0.5000)
Te (0.2500, 0.2500, 0.2500)
Ca (0.0000, 0.0000, 0.0000)
Ca (0.7500, 0.7500, 0.7500)

Properties
Energy above the most stable polymorph in this dataset = 224.8 meV/atom
ΔE_f (raw) = -0.260 eV per atom

=====

Record 6
## LaNi2Os (GGA-PBEsol)

Data for crystalline LaNi2Os at its relaxed geometry.

a = 2.8464 Å, b = 4.5384 Å, c = 5.4529 Å
α = 114.59°, β = 105.13°, γ = 90.00°
Sites, in units of the cell vectors:
Os (0.5269, 0.5269, 0.0538)
La (0.7407, 0.2407, 0.4814)
Ni (0.9729, 0.9729, 0.9459)
Ni (0.2595, 0.7595, 0.5190)

Properties
Energy above the most stable polymorph in this dataset = 99.2 meV/atom
Energy of formation = 334 meV per atom

=====

Record 7
## Hg2RuPb (GGA-PBEsol)

Data for crystalline Hg2RuPb at its relaxed geometry.

a = 3.3655 Å, b = 5.2337 Å, c = 5.6254 Å
α = 67.33°, β = 72.59°, γ = 71.24°
Sites, in units of the cell vectors:
Ru (0.2604, 0.0866, 0.3927)
Hg (0.7372, 0.7530, 0.7727)
Hg (0.9524, 0.1338, 0.9614)
Pb (0.5500, 0.5267, 0.3733)

Properties
Energy of formation = 372 meV per atom

=====

Record 8
## Ca2TaAs (GGA-PBEsol)

Data for crystalline Ca2TaAs at its relaxed geometry.

a = 3.5281 Å, b = 5.2199 Å, c = 6.1309 Å
α = 115.20°, β = 106.72°, γ = 90.00°
Sites, in units of the cell vectors:
Ta (0.4441, 0.9441, 0.8881)
Ca (0.2390, 0.2390, 0.4780)
As (0.7729, 0.7729, 0.5458)
Ca (0.0441, 0.5441, 0.0882)

Properties
Energy of formation = -27 meV per atom

=====

no.,DOS at the Fermi energy (states/eV per cell)
1,12.43
2,3.52
3,2.30
4,4.84
5,1.72
6,4.65
7,3.01
8,3.76